*A*
DFT (GGA+U) results for an optimized crystal structure of Mn6O5F7.

```
data_Mn6O5F7
_chemical_formula_sum 'Mn6 O5 F7'
_cell_length_a 4.795
_cell_length_b 5.781
_cell_length_c 7.917
_cell_angle_alpha 84.40
_cell_angle_beta 86.92
_cell_angle_gamma 84.18
_symmetry_space_group_name_H-M 'P 1'
_symmetry_Int_Tables_number 1
loop_
_symmetry_equiv_pos_as_xyz
'x,y,z'
loop_
_atom_site_label
_atom_site_type_symbol
_atom_site_fract_x
_atom_site_fract_y
_atom_site_fract_z
Mn1 Mn 0.000 0.000 0.000
Mn2 Mn 0.001 0.676 0.321
Mn3 Mn 0.483 0.182 0.344
Mn4 Mn 0.519 0.838 0.643
Mn5 Mn 0.548 0.542 0.010
Mn6 Mn 0.997 0.343 0.664
O1 O 0.293 0.130 0.564
O2 O 0.306 0.471 0.233
O3 O 0.712 0.893 0.427
O4 O 0.714 0.556 0.758
O5 O 0.837 0.736 0.098
F1 F 0.176 0.281 0.897
F2 F 0.193 0.632 0.546
F3 F 0.232 0.973 0.205
F4 F 0.301 0.806 0.866
F5 F 0.714 0.217 0.123
F6 F 0.787 0.055 0.783
F7 F 0.802 0.383 0.442
```

Summary:
* M_tot: 25.00 μB/cell

---

*B*
DFT (GGA+U) results for an optimized crystal structure of Mn6O5F7.

```
data_Mn6O5F7
_chemical_formula_sum 'Mn6 O5 F7'
_cell_length_a 4.728
_cell_length_b 9.498
_cell_length_c 4.755
_cell_angle_alpha 90.00
_cell_angle_beta 95.02
_cell_angle_gamma 90.00
_symmetry_space_group_name_H-M 'P 1 m 1'
_symmetry_Int_Tables_number 6
loop_
_symmetry_equiv_pos_as_xyz
'x,y,z'
'x,-y,z'
loop_
_atom_site_label
_atom_site_type_symbol
_atom_site_fract_x
_atom_site_fract_y
_atom_site_fract_z
Mn1 Mn 0.000 0.000 0.000
Mn2 Mn 0.036 0.339 0.027
Mn3 Mn 0.502 0.158 0.495
Mn4 Mn 0.536 0.500 0.461
O1 O 0.294 0.000 0.296
O2 O 0.339 0.324 0.311
O3 O 0.703 0.000 0.702
O4 O 0.860 0.500 0.189
F1 F 0.199 0.172 0.822
F2 F 0.245 0.500 0.792
F3 F 0.730 0.325 0.707
F4 F 0.818 0.164 0.197
```

Summary:
* M_tot: 23.00 μB/cell

---

*C*
DFT (GGA+U) results for an optimized crystal structure of Mn6O5F7.

```
data_Mn6O5F7
_chemical_formula_sum 'Mn12 O10 F14'
_cell_length_a 9.546
_cell_length_b 6.357
_cell_length_c 7.911
_cell_angle_alpha 90.00
_cell_angle_beta 115.96
_cell_angle_gamma 90.00
_symmetry_space_group_name_H-M 'C 1 2 1'
_symmetry_Int_Tables_number 5
loop_
_symmetry_equiv_pos_as_xyz
'x,y,z'
'-x,y,-z'
'x+1/2,y+1/2,z'
'-x+1/2,y+1/2,-z'
loop_
_atom_site_label
_atom_site_type_symbol
_atom_site_fract_x
_atom_site_fract_y
_atom_site_fract_z
Mn1 Mn 0.000 0.000 0.000
Mn2 Mn 0.000 0.029 0.500
Mn3 Mn 0.165 0.530 0.665
Mn4 Mn 0.176 0.530 0.176
O1 O 0.000 0.706 0.000
O2 O 0.162 0.227 0.663
O3 O 0.163 0.832 0.664
F1 F 0.000 0.317 0.000
F2 F 0.061 0.526 0.370
F3 F 0.106 0.026 0.288
F4 F 0.230 0.021 0.038
```

Summary:
* M_tot: 50.00 μB/cell

---

*D*
DFT (GGA+U) results for an optimized crystal structure of Mn6O5F7.

```
data_Mn6O5F7
_chemical_formula_sum 'Mn6 O5 F7'
_cell_length_a 4.700
_cell_length_b 5.729
_cell_length_c 7.927
_cell_angle_alpha 85.83
_cell_angle_beta 89.34
_cell_angle_gamma 88.11
_symmetry_space_group_name_H-M 'P 1'
_symmetry_Int_Tables_number 1
loop_
_symmetry_equiv_pos_as_xyz
'x,y,z'
loop_
_atom_site_label
_atom_site_type_symbol
_atom_site_fract_x
_atom_site_fract_y
_atom_site_fract_z
Mn1 Mn 0.000 0.000 0.000
Mn2 Mn 0.013 0.664 0.331
Mn3 Mn 0.038 0.333 0.628
Mn4 Mn 0.499 0.152 0.304
Mn5 Mn 0.526 0.494 0.988
Mn6 Mn 0.565 0.819 0.666
O1 O 0.230 0.375 0.413
O2 O 0.336 0.210 0.079
O3 O 0.722 0.777 0.893
O4 O 0.818 0.948 0.229
O5 O 0.831 0.613 0.550
F1 F 0.228 0.038 0.746
F2 F 0.238 0.704 0.115
F3 F 0.313 0.533 0.771
F4 F 0.330 0.860 0.447
F5 F 0.714 0.126 0.534
F6 F 0.750 0.449 0.196
F7 F 0.822 0.289 0.849
```

Summary:
* M_tot: 25.00 μB/cell

---

Stability summary: most stable *C*, least stable *B*.

---

*A*
DFT (GGA+U) results for an optimized crystal structure of Mn6O5F7.

```
data_Mn6O5F7
_chemical_formula_sum 'Mn6 O5 F7'
_cell_length_a 4.765
_cell_length_b 5.737
_cell_length_c 7.840
_cell_angle_alpha 86.74
_cell_angle_beta 88.32
_cell_angle_gamma 85.78
_symmetry_space_group_name_H-M 'P 1'
_symmetry_Int_Tables_number 1
loop_
_symmetry_equiv_pos_as_xyz
'x,y,z'
loop_
_atom_site_label
_atom_site_type_symbol
_atom_site_fract_x
_atom_site_fract_y
_atom_site_fract_z
Mn1 Mn 0.000 0.000 0.000
Mn2 Mn 0.008 0.367 0.678
Mn3 Mn 0.447 0.517 0.996
Mn4 Mn 0.483 0.844 0.672
Mn5 Mn 0.520 0.179 0.332
Mn6 Mn 0.978 0.695 0.332
O1 O 0.183 0.718 0.108
O2 O 0.193 0.061 0.774
O3 O 0.285 0.556 0.775
O4 O 0.790 0.648 0.564
O5 O 0.807 0.977 0.226
F1 F 0.194 0.399 0.422
F2 F 0.285 0.215 0.109
F3 F 0.303 0.897 0.443
F4 F 0.672 0.485 0.214
F5 F 0.687 0.807 0.895
F6 F 0.708 0.160 0.574
F7 F 0.768 0.303 0.914
```

Summary:
* M_tot: 25.00 μB/cell

---

*B*
DFT (GGA+U) results for an optimized crystal structure of Mn6O5F7.

```
data_Mn6O5F7
_chemical_formula_sum 'Mn12 O10 F14'
_cell_length_a 9.356
_cell_length_b 7.261
_cell_length_c 6.356
_cell_angle_alpha 90.00
_cell_angle_beta 90.00
_cell_angle_gamma 90.00
_symmetry_space_group_name_H-M 'A m m 2'
_symmetry_Int_Tables_number 38
loop_
_symmetry_equiv_pos_as_xyz
'x,y,z'
'-x,-y,z'
'-x,y,z'
'x,-y,z'
'x,y+1/2,z+1/2'
'-x,-y+1/2,z+1/2'
'-x,y+1/2,z+1/2'
'x,-y+1/2,z+1/2'
loop_
_atom_site_label
_atom_site_type_symbol
_atom_site_fract_x
_atom_site_fract_y
_atom_site_fract_z
Mn1 Mn 0.000 0.000 0.000
Mn2 Mn 0.165 0.000 0.501
Mn3 Mn 0.324 0.000 0.002
Mn4 Mn 0.500 0.000 0.471
O1 O 0.163 0.000 0.198
O2 O 0.165 0.000 0.803
O3 O 0.500 0.000 0.178
F1 F 0.000 0.187 0.501
F2 F 0.336 0.189 0.492
F3 F 0.500 0.000 0.788
```

Summary:
* M_tot: 50.00 μB/cell

---

Stability summary: most stable *B*, least stable *A*.

---

*A*
DFT (GGA+U) results for an optimized crystal structure of Mn6O5F7.

```
data_Mn6O5F7
_chemical_formula_sum 'Mn12 O10 F14'
_cell_length_a 4.740
_cell_length_b 5.687
_cell_length_c 15.663
_cell_angle_alpha 90.00
_cell_angle_beta 90.28
_cell_angle_gamma 90.00
_symmetry_space_group_name_H-M 'P 1 c 1'
_symmetry_Int_Tables_number 7
loop_
_symmetry_equiv_pos_as_xyz
'x,y,z'
'x,-y,z+1/2'
loop_
_atom_site_label
_atom_site_type_symbol
_atom_site_fract_x
_atom_site_fract_y
_atom_site_fract_z
Mn1 Mn 0.000 0.134 0.000
Mn2 Mn 0.040 0.160 0.334
Mn3 Mn 0.044 0.149 0.658
Mn4 Mn 0.465 0.323 0.828
Mn5 Mn 0.470 0.341 0.490
Mn6 Mn 0.543 0.353 0.161
O1 O 0.212 0.093 0.893
O2 O 0.225 0.117 0.550
O3 O 0.274 0.393 0.388
O4 O 0.307 0.388 0.710
O5 O 0.807 0.117 0.110
F1 F 0.284 0.381 0.053
F2 F 0.298 0.114 0.224
F3 F 0.731 0.364 0.942
F4 F 0.734 0.382 0.592
F5 F 0.743 0.127 0.434
F6 F 0.781 0.390 0.275
F7 F 0.818 0.108 0.769
```

Summary:
* M_tot: 50.00 μB/cell

---

*B*
DFT (GGA+U) results for an optimized crystal structure of Mn6O5F7.

```
data_Mn6O5F7
_chemical_formula_sum 'Mn12 O10 F14'
_cell_length_a 9.037
_cell_length_b 6.985
_cell_length_c 7.176
_cell_angle_alpha 90.00
_cell_angle_beta 109.84
_cell_angle_gamma 90.00
_symmetry_space_group_name_H-M 'C 1 2 1'
_symmetry_Int_Tables_number 5
loop_
_symmetry_equiv_pos_as_xyz
'x,y,z'
'-x,y,-z'
'x+1/2,y+1/2,z'
'-x+1/2,y+1/2,-z'
loop_
_atom_site_label
_atom_site_type_symbol
_atom_site_fract_x
_atom_site_fract_y
_atom_site_fract_z
Mn1 Mn 0.000 0.000 0.000
Mn2 Mn 0.000 0.016 0.500
Mn3 Mn 0.149 0.482 0.669
Mn4 Mn 0.167 0.492 0.154
O1 O 0.000 0.308 0.500
O2 O 0.057 0.481 0.869
O3 O 0.107 0.006 0.802
F1 F 0.000 0.715 0.500
F2 F 0.160 0.801 0.170
F3 F 0.183 0.174 0.182
F4 F 0.249 0.999 0.541
```

Summary:
* M_tot: 50.00 μB/cell

---

*C*
DFT (GGA+U) results for an optimized crystal structure of Mn6O5F7.

```
data_Mn6O5F7
_chemical_formula_sum 'Mn6 O5 F7'
_cell_length_a 5.705
_cell_length_b 5.796
_cell_length_c 7.144
_cell_angle_alpha 74.26
_cell_angle_beta 74.08
_cell_angle_gamma 76.13
_symmetry_space_group_name_H-M 'P 1'
_symmetry_Int_Tables_number 1
loop_
_symmetry_equiv_pos_as_xyz
'x,y,z'
loop_
_atom_site_label
_atom_site_type_symbol
_atom_site_fract_x
_atom_site_fract_y
_atom_site_fract_z
Mn1 Mn 0.000 0.000 0.000
Mn2 Mn 0.002 0.955 0.494
Mn3 Mn 0.324 0.339 0.167
Mn4 Mn 0.338 0.344 0.653
Mn5 Mn 0.644 0.670 0.331
Mn6 Mn 0.680 0.686 0.833
O1 O 0.092 0.086 0.206
O2 O 0.307 0.654 0.487
O3 O 0.566 0.580 0.118
O4 O 0.752 0.762 0.539
O5 O 0.920 0.889 0.791
F1 F 0.006 0.641 0.174
F2 F 0.226 0.186 0.475
F3 F 0.363 0.011 0.831
F4 F 0.439 0.469 0.854
F5 F 0.638 0.042 0.151
F6 F 0.691 0.285 0.503
F7 F 0.985 0.360 0.827
```

Summary:
* M_tot: 25.00 μB/cell

---

*D*
DFT (GGA+U) results for an optimized crystal structure of Mn6O5F7.

```
data_Mn6O5F7
_chemical_formula_sum 'Mn6 O5 F7'
_cell_length_a 4.838
_cell_length_b 5.752
_cell_length_c 7.890
_cell_angle_alpha 84.71
_cell_angle_beta 85.61
_cell_angle_gamma 84.15
_symmetry_space_group_name_H-M 'P 1'
_symmetry_Int_Tables_number 1
loop_
_symmetry_equiv_pos_as_xyz
'x,y,z'
loop_
_atom_site_label
_atom_site_type_symbol
_atom_site_fract_x
_atom_site_fract_y
_atom_site_fract_z
Mn1 Mn 0.000 0.000 0.000
Mn2 Mn 0.004 0.654 0.330
Mn3 Mn 0.511 0.478 0.010
Mn4 Mn 0.518 0.158 0.324
Mn5 Mn 0.602 0.841 0.672
Mn6 Mn 0.991 0.328 0.679
O1 O 0.304 0.446 0.234
O2 O 0.716 0.525 0.792
O3 O 0.717 0.198 0.107
O4 O 0.719 0.874 0.418
O5 O 0.849 0.046 0.782
F1 F 0.162 0.613 0.559
F2 F 0.198 0.934 0.220
F3 F 0.239 0.280 0.897
F4 F 0.313 0.135 0.557
F5 F 0.315 0.785 0.908
F6 F 0.805 0.381 0.435
F7 F 0.822 0.688 0.112
```

Summary:
* M_tot: 19.00 μB/cell

---

Stability summary: most stable *B*, least stable *D*.

---

*A*
DFT (GGA+U) results for an optimized crystal structure of Mn2OF.

```
data_Mn2OF
_chemical_formula_sum 'Mn6 O3 F3'
_cell_length_a 3.3152
_cell_length_b 3.3152
_cell_length_c 19.2017
_cell_angle_alpha 90.00
_cell_angle_beta 90.00
_cell_angle_gamma 120.00
_symmetry_space_group_name_H-M 'R -3 m'
_symmetry_Int_Tables_number 166
_symmetry_space_group_name_Hall '-R 3 2"'
loop_
_atom_site_label
_atom_site_type_symbol
_atom_site_fract_x
_atom_site_fract_y
_atom_site_fract_z
Mn1 Mn 0.0000 0.0000 0.1046
O1 O 0.0000 0.0000 0.5000
F1 F 0.0000 0.0000 0.0000
```

Summary:
* M_tot: 28.68 μB/cell

---

*B*
DFT (GGA+U) results for an optimized crystal structure of Mn2OF.

```
data_Mn2OF
_chemical_formula_sum 'Mn8 O4 F4'
_cell_length_a 5.056
_cell_length_b 5.056
_cell_length_c 10.047
_cell_angle_alpha 90.00
_cell_angle_beta 90.00
_cell_angle_gamma 90.00
_symmetry_space_group_name_H-M 'I -4 2 d'
_symmetry_Int_Tables_number 122
_symmetry_space_group_name_Hall 'I -4 2bw'
loop_
_atom_site_label
_atom_site_type_symbol
_atom_site_fract_x
_atom_site_fract_y
_atom_site_fract_z
Mn1 Mn 0.215 0.250 0.125
O1 O 0.000 0.000 0.000
F1 F 0.000 0.000 0.500
```

Summary:
* M_tot: 39.83 μB/cell

---

Stability summary: most stable *B*, least stable *A*.

---

*A*
DFT (GGA+U) results for an optimized crystal structure of Mn2OF.

```
data_Mn2OF
_chemical_formula_sum 'Mn4 O2 F2'
_cell_length_a 3.370
_cell_length_b 5.280
_cell_length_c 7.145
_cell_angle_alpha 97.06
_cell_angle_beta 91.98
_cell_angle_gamma 91.97
_symmetry_space_group_name_H-M 'P 1'
_symmetry_Int_Tables_number 1
loop_
_symmetry_equiv_pos_as_xyz
'x,y,z'
loop_
_atom_site_label
_atom_site_type_symbol
_atom_site_fract_x
_atom_site_fract_y
_atom_site_fract_z
Mn1 Mn 0.000 0.000 0.000
Mn2 Mn 0.045 0.986 0.505
Mn3 Mn 0.511 0.622 0.747
Mn4 Mn 0.560 0.436 0.280
O1 O 0.050 0.197 0.267
O2 O 0.531 0.750 0.481
F1 F 0.008 0.353 0.684
F2 F 0.733 0.608 0.042
```

Summary:
* M_tot: 19.81 μB/cell

---

*B*
DFT (GGA+U) results for an optimized crystal structure of Mn2OF.

```
data_Mn2OF
_chemical_formula_sum 'Mn8 O4 F4'
_cell_length_a 5.752
_cell_length_b 5.752
_cell_length_c 5.752
_cell_angle_alpha 90.00
_cell_angle_beta 90.00
_cell_angle_gamma 90.00
_symmetry_space_group_name_H-M 'F m -3 m'
_symmetry_Int_Tables_number 225
_symmetry_space_group_name_Hall '-F 4 2 3'
loop_
_atom_site_label
_atom_site_type_symbol
_atom_site_fract_x
_atom_site_fract_y
_atom_site_fract_z
Mn1 Mn 0.250 0.250 0.250
O1 O 0.000 0.000 0.000
F1 F 0.000 0.000 0.500
```

Summary:
* M_tot: 38.25 μB/cell

---

Stability summary: most stable *A*, least stable *B*.

---

*A*
DFT (GGA+U) results for an optimized crystal structure of MnOsOF2.

```
data_MnOsOF2
_chemical_formula_sum 'Mn1 Os1 O1 F2'
_cell_length_a 4.324
_cell_length_b 4.324
_cell_length_c 3.502
_cell_angle_alpha 90.00
_cell_angle_beta 90.00
_cell_angle_gamma 90.00
_symmetry_space_group_name_H-M 'P 4/m m m'
_symmetry_Int_Tables_number 123
_symmetry_space_group_name_Hall '-P 4 2'
loop_
_atom_site_label
_atom_site_type_symbol
_atom_site_fract_x
_atom_site_fract_y
_atom_site_fract_z
Mn1 Mn 0.000 0.000 0.000
Os1 Os 0.500 0.500 0.500
O1 O 0.000 0.000 0.500
F1 F 0.000 0.500 0.000
```

Summary:
* M_tot: 3.75 μB/cell

---

*B*
DFT (GGA+U) results for an optimized crystal structure of MnOsOF2.

```
data_MnOsOF2
_chemical_formula_sum 'Mn1 Os1 O1 F2'
_cell_length_a 4.529
_cell_length_b 4.529
_cell_length_c 3.696
_cell_angle_alpha 90.00
_cell_angle_beta 90.00
_cell_angle_gamma 90.00
_symmetry_space_group_name_H-M 'P 4/m m m'
_symmetry_Int_Tables_number 123
_symmetry_space_group_name_Hall '-P 4 2'
loop_
_atom_site_label
_atom_site_type_symbol
_atom_site_fract_x
_atom_site_fract_y
_atom_site_fract_z
Mn1 Mn 0.000 0.000 0.000
Os1 Os 0.500 0.500 0.500
O1 O 0.500 0.500 0.000
F1 F 0.000 0.500 0.500
```

Summary:
* M_tot: 5.28 μB/cell

---

Stability summary: most stable *B*, least stable *A*.